--- i ---
CaBiF5 | GGA-PBEsol | relaxed

Crystal system = monoclinic
V = 259.0 Å³ per cell

Structure (POSCAR):
```
CaBiF5
1.0
-0.687 2.705 5.317
-4.029 -3.136 3.161
3.830 -4.394 5.966
Ca Bi F
2 2 10
direct
0.529 0.471 0.750
0.471 0.529 0.250
0.000 0.000 0.500
0.000 0.000 0.000
0.134 0.866 0.250
0.866 0.134 0.750
0.718 0.780 0.134
0.220 0.282 0.366
0.673 0.300 0.456
0.700 0.327 0.044
0.327 0.700 0.544
0.300 0.673 0.956
0.780 0.718 0.634
0.282 0.220 0.866
```


--- ii ---
CaBiF5 | GGA-PBEsol | relaxed

Crystal system = monoclinic
V = 399.1 Å³ per cell

Structure (POSCAR):
```
CaBiF5
1.0
-1.445 4.531 -1.166
-2.790 0.801 6.724
9.746 4.025 3.564
Ca Bi F
4 4 20
direct
0.469 0.750 0.983
0.531 0.750 0.483
0.531 0.250 0.017
0.469 0.250 0.517
0.959 0.504 0.250
0.041 0.996 0.750
0.041 0.496 0.750
0.959 0.004 0.250
0.696 0.523 0.083
0.304 0.977 0.583
0.304 0.477 0.917
0.696 0.023 0.417
0.696 0.479 0.416
0.304 0.021 0.916
0.304 0.521 0.584
0.696 0.979 0.084
0.846 0.749 0.633
0.154 0.751 0.133
0.154 0.251 0.367
0.846 0.249 0.867
0.860 0.753 0.875
0.140 0.747 0.375
0.140 0.247 0.125
0.860 0.253 0.625
0.671 0.750 0.270
0.329 0.750 0.770
0.329 0.250 0.730
0.671 0.250 0.230
```


Least stable of them? i.